[1]
GGA-PBE La3PmTh2As6, optimized geometry; energy relative to the elements = -18.44 eV/f.u.; total magnetic moment = 0.00 μB/cell; total DFT energy (no corrections) = -80.71 eV/cell; V = 339 Å³ per cell
1.0
7.457 -0.003 0.001
-3.730 6.457 0.001
-1.243 -2.151 7.050
La As Th Pm
3 6 2 1
Cartesian
4.979 -0.007 3.526
-2.494 4.309 3.526
1.242 2.151 3.526
3.734 2.139 5.348
2.498 -0.001 1.704
0.007 0.012 5.346
-1.249 2.163 1.704
-0.013 4.303 5.348
2.478 4.291 1.706
-0.002 4.304 0.001
3.729 2.149 0.001
0.000 0.000 0.000

***

[2]
GGA-PBE Sm3AgAu2, optimized geometry; energy relative to the elements = -3.79 eV/f.u.; total magnetic moment = 0.00 μB/cell; total DFT energy (no corrections) = -27.35 eV/cell; V = 150 Å³ per cell
1.0
3.676 0.000 0.000
0.000 3.676 0.000
0.000 0.000 11.099
Au Sm Ag
2 3 1
Cartesian
1.838 1.838 1.866
1.838 1.838 9.233
0.000 0.000 0.000
0.000 0.000 7.451
0.000 0.000 3.649
1.838 1.838 5.550

***

[3]
GGA-PBE LiCoW, optimized geometry; energy relative to the elements = 3.13 eV/f.u.; total magnetic moment = 0.00 μB/cell; total DFT energy (no corrections) = -18.84 eV/cell; V = 44 Å³ per cell
1.0
3.971 0.000 0.000
1.986 3.439 0.000
1.986 1.146 3.242
Li W Co
1 1 1
Cartesian
3.971 2.293 1.621
5.957 3.439 2.432
0.000 0.000 0.000

***

[4]
GGA-PBE Cs3Ac2RhO6, optimized geometry; formation energy without anion corrections = -1.84 eV per atom; total magnetic moment = 0.00 μB/cell; total DFT energy (no corrections) = -69.93 eV/cell; V = 243 Å³ per cell
1.0
6.386 0.002 0.010
-3.190 5.532 0.010
-1.055 -1.827 6.873
Ac Rh Cs O
2 1 3 6
Cartesian
-0.002 3.691 0.010
3.198 1.843 0.010
0.000 0.000 0.000
1.071 1.854 3.446
4.322 -0.024 3.446
-2.181 3.731 3.446
-0.098 -0.170 5.693
2.239 3.877 1.200
0.234 3.703 5.726
-0.950 1.654 1.167
3.091 2.053 5.726
1.907 0.004 1.167

***

[5]
GGA-PBE La2Dy7Tm4, optimized geometry; energy relative to the elements = 2.65 eV/f.u.; total magnetic moment = 0.00 μB/cell; total DFT energy (no corrections) = -57.31 eV/cell; V = 424 Å³ per cell
1.0
-3.787 4.637 -1.014
-0.640 -3.409 4.984
8.168 8.114 6.597
Dy Tm La
7 4 2
Cartesian
5.966 4.140 8.362
-1.062 2.570 4.004
4.803 6.773 6.564
0.443 3.428 1.085
3.938 9.323 4.499
1.563 0.566 3.219
0.000 0.000 0.000
3.229 3.208 2.608
2.395 3.330 6.284
4.939 4.906 3.989
1.346 6.012 4.284
-1.689 -0.727 2.985
-2.738 1.955 0.986

***

[6]
GGA-PBE KPr2Cl7, optimized geometry; formation energy without anion corrections = -2.21 eV per atom; total magnetic moment = 0.00 μB/cell; total DFT energy (no corrections) = -45.65 eV/cell; V = 342 Å³ per cell
1.0
-3.030 1.886 4.201
-6.935 -2.203 -4.013
3.309 -5.772 4.979
Cl Pr K
7 2 1
Cartesian
-4.039 -3.212 -1.471
-3.328 -3.045 2.583
-3.051 -6.021 4.120
-0.790 -1.048 3.518
0.413 -4.763 2.437
-3.605 -0.068 1.047
-5.866 -5.041 1.649
-5.354 -2.339 0.805
-1.302 -3.750 4.362
0.000 0.000 0.000

***

[7]
GGA-PBE Al3CrHg, optimized geometry; energy relative to the elements = 2.64 eV/f.u.; total magnetic moment = 2.88 μB/cell; total DFT energy (no corrections) = -18.51 eV/cell; V = 111 Å³ per cell
1.0
-0.437 2.289 -4.209
1.474 -3.957 -2.305
-4.559 -1.499 -0.342
Al Cr Hg
3 1 1
Cartesian
-0.218 1.145 -2.104
-2.279 -0.749 -0.171
0.737 -1.979 -1.153
0.000 0.000 0.000
-1.761 -1.583 -3.428

***

[8]
GGA-PBE LiV3C, optimized geometry; energy relative to the elements = 9.78 eV/f.u.; total magnetic moment = 0.00 μB/cell; total DFT energy (no corrections) = -28.72 eV/cell; V = 60 Å³ per cell
1.0
3.911 0.000 0.000
0.000 3.911 0.000
0.000 0.000 3.911
V Li C
3 1 1
Cartesian
0.000 0.000 1.956
0.000 1.956 0.000
1.956 0.000 0.000
0.000 0.000 0.000
1.956 1.956 1.956

***

[9]
GGA-PBE BaSn2Hg10, optimized geometry; energy relative to the elements = -1.23 eV/f.u.; total magnetic moment = 0.00 μB/cell; total DFT energy (no corrections) = -14.17 eV/cell; V = 364 Å³ per cell
1.0
6.653 0.000 0.000
3.326 7.245 0.000
3.326 0.000 7.544
Hg Sn Ba
10 2 1
Cartesian
6.653 2.572 2.659
4.989 0.000 3.772
6.653 1.525 5.925
9.979 5.720 5.925
3.326 4.673 2.659
6.653 5.720 1.619
3.326 1.525 1.619
6.653 4.673 4.884
1.663 0.000 3.772
9.979 2.572 4.884
1.663 3.623 0.000
4.989 3.623 0.000
0.000 0.000 0.000

***

[10]
GGA-PBE SrGa3IrRh, optimized geometry; energy relative to the elements = -2.91 eV/f.u.; total magnetic moment = 0.00 μB/cell; total DFT energy (no corrections) = -59.76 eV/cell; V = 262 Å³ per cell
1.0
6.031 0.000 0.000
0.000 7.736 0.000
0.000 -3.868 5.622
Ga Ir Sr Rh
6 2 2 2
Cartesian
0.000 1.887 0.000
4.523 3.868 2.545
3.015 5.849 0.000
3.015 1.887 0.000
0.000 5.849 0.000
1.508 0.000 3.077
1.508 0.000 0.731
4.523 3.868 4.891
4.523 0.000 2.580
1.508 3.868 3.042
4.523 3.868 0.234
1.508 0.000 5.388

***

[11]
GGA-PBE OsPd2Rh, optimized geometry; energy relative to the elements = 3.25 eV/f.u.; total magnetic moment = 0.00 μB/cell; total DFT energy (no corrections) = -51.43 eV/cell; V = 131 Å³ per cell
1.0
7.063 0.000 0.000
0.000 7.063 0.000
3.531 3.531 2.619
Rh Os Pd
2 2 4
Cartesian
3.531 3.531 0.000
3.531 7.063 1.309
7.063 3.531 1.309
0.000 0.000 0.000
1.660 5.297 0.655
8.829 8.935 1.964
5.297 5.191 1.964
5.403 1.766 0.655

***

[12]
GGA-PBE NaSiF3, optimized geometry; formation energy without anion corrections = -1.49 eV per atom; total magnetic moment = 0.00 μB/cell; total DFT energy (no corrections) = -19.80 eV/cell; V = 67 Å³ per cell
1.0
4.059 0.000 0.000
0.000 4.059 0.000
0.000 0.000 4.059
Na F Si
1 3 1
Cartesian
0.000 0.000 0.000
2.029 0.000 0.000
0.000 0.000 2.029
0.000 2.029 0.000
2.029 2.029 2.029